Record 1
# Sm2Zr2Sb2H | the Alexandria database | GGA-PBE | optimized geometry
data_Sm2Zr2Sb2H
_chemical_formula_sum 'Sm4 Zr4 Sb4 H2'
_cell_length_a 4.351
_cell_length_b 4.351
_cell_length_c 16.775
_cell_angle_alpha 90.00
_cell_angle_beta 90.00
_cell_angle_gamma 90.00
_symmetry_space_group_name_H-M 'I 4/m m m'
_symmetry_Int_Tables_number 139
_symmetry_space_group_name_Hall '-I 4 2'
loop_
_atom_site_label
_atom_site_type_symbol
_atom_site_fract_x
_atom_site_fract_y
_atom_site_fract_z
Sm1 Sm 0.000 0.000 0.177
Zr1 Zr 0.000 0.500 0.000
Sb1 Sb 0.000 0.000 0.370
H1 H 0.000 0.000 0.000
# **Total DFT energy (no corrections)**: -44.035 eV/f.u.



Record 2
# Pm3PtCl3 | the Alexandria database | GGA-PBE | optimized geometry
data_Pm3PtCl3
_chemical_formula_sum 'Pm24 Pt8 Cl24'
_cell_length_a 11.810
_cell_length_b 11.810
_cell_length_c 11.810
_cell_angle_alpha 90.00
_cell_angle_beta 90.00
_cell_angle_gamma 90.00
_symmetry_space_group_name_H-M 'I 41 3 2'
_symmetry_Int_Tables_number 214
_symmetry_space_group_name_Hall 'I 4bd 2c 3'
loop_
_atom_site_label
_atom_site_type_symbol
_atom_site_fract_x
_atom_site_fract_y
_atom_site_fract_z
Pm1 Pm 0.114 0.364 0.125
Pt1 Pt 0.125 0.125 0.125
Cl1 Cl 0.124 0.375 0.374
# **ΔE_f (raw)**: -1676 meV/atom



Which formula does entry 1 have?
Sm2Zr2Sb2H